(w)
DyEr12Tm6 | PBE | relaxed

a b c (Å): 9.182 9.182 9.182
angles (deg): 107.74 107.74 107.74
Positions (direct):
Tm  0.686  0.686  0.271
Er  0.500  0.889  0.111
Er  0.889  0.111  0.500
Tm  0.729  0.314  0.314
Tm  0.271  0.686  0.686
Tm  0.686  0.271  0.686
Er  0.135  0.356  0.356
Er  0.111  0.500  0.889
Er  0.111  0.889  0.500
Er  0.500  0.111  0.889
Tm  0.314  0.314  0.729
Er  0.889  0.500  0.111
Er  0.356  0.135  0.356
Er  0.644  0.644  0.865
Er  0.356  0.356  0.135
Tm  0.314  0.729  0.314
Er  0.644  0.865  0.644
Er  0.865  0.644  0.644
Dy  0.000  0.000  0.000

Output
Magnetic moment   0.00 μB per atom


(x)
DyEr12Tm6 | PBE | relaxed

a b c (Å): 8.401 8.401 8.401
angles (deg): 88.07 88.07 88.07
Positions (direct):
Tm  0.256  0.092  0.689
Tm  0.092  0.689  0.256
Er  0.792  0.643  0.991
Er  0.226  0.456  0.565
Er  0.357  0.009  0.208
Er  0.643  0.991  0.792
Er  0.009  0.208  0.357
Tm  0.689  0.256  0.092
Er  0.435  0.774  0.544
Er  0.565  0.226  0.456
Er  0.991  0.792  0.643
Dy  0.000  0.000  0.000
Er  0.544  0.435  0.774
Tm  0.744  0.908  0.311
Er  0.774  0.544  0.435
Er  0.208  0.357  0.009
Tm  0.311  0.744  0.908
Er  0.456  0.565  0.226
Tm  0.908  0.311  0.744

Output
Magnetic moment   0.00 μB per atom


(x) (0.287 eV/atom below the next structure)


(w)
Dy3ErTm7 | PBE | relaxed

a b c (Å): 5.428 9.876 8.731
angles (deg): 106.18 128.45 89.99
Positions (direct):
Tm  0.679  0.361  0.179
Tm  0.909  0.830  0.909
Tm  0.091  0.170  0.091
Tm  0.141  0.291  0.641
Tm  0.500  0.000  0.500
Er  0.500  0.500  0.500
Dy  0.000  0.500  0.000
Dy  0.719  0.997  0.219
Tm  0.859  0.709  0.359
Tm  0.321  0.639  0.821
Dy  0.281  0.003  0.781

Output
Magnetic moment   0.00 μB per atom


(x)
Dy3ErTm7 | PBE | relaxed

a b c (Å): 8.478 6.939 6.939
angles (deg): 120.00 90.00 90.00
Positions (direct):
Tm  0.119  0.667  0.333
Er  0.447  0.333  0.667
Tm  0.447  0.832  0.168
Tm  0.119  0.168  0.335
Tm  0.119  0.665  0.832
Tm  0.447  0.335  0.168
Dy  0.783  0.500  0.500
Dy  0.783  0.000  0.500
Tm  0.447  0.832  0.665
Dy  0.783  0.500  0.000
Tm  0.119  0.168  0.832

Output
Magnetic moment   0.00 μB per atom


(w) (0.032 eV/atom below the next structure)


(w)
Dy3YEr7 | PBE | relaxed

a b c (Å): 8.823 9.832 5.471
angles (deg): 89.98 128.34 105.62
Positions (direct):
Er  0.648  0.291  0.148
Er  0.500  0.000  0.500
Er  0.920  0.831  0.920
Dy  0.780  0.998  0.279
Er  0.080  0.169  0.080
Dy  0.000  0.500  0.000
Y  0.500  0.500  0.500
Er  0.352  0.709  0.852
Er  0.821  0.641  0.321
Dy  0.220  0.002  0.721
Er  0.179  0.359  0.679

Output
Magnetic moment   0.00 μB per atom


(x)
Dy3YEr7 | PBE | relaxed

a b c (Å): 5.735 8.355 8.355
angles (deg): 83.03 110.15 110.15
Site moments in Bohr magnetons follow the coordinates.
Positions (direct):
Dy  0.000  0.791  0.209  0.01
Er  0.793  0.794  0.794  0.01
Dy  0.500  0.000  0.000  0.00
Er  0.207  0.206  0.206  0.01
Er  0.294  0.599  0.990  0.01
Dy  0.000  0.209  0.791  0.01
Er  0.706  0.010  0.401  0.01
Er  0.706  0.401  0.010  0.01
Er  0.000  0.500  0.500  0.17
Er  0.294  0.990  0.599  0.01
Y  0.500  0.500  0.500  0.13

Output
Magnetic moment   0.04 μB per atom


(w) (0.122 eV/atom below the next structure)


(w)
DyY6Er8 | PBE | relaxed

a b c (Å): 9.001 9.001 8.577
angles (deg): 58.35 58.35 60.00
Positions (direct):
Y  0.890  0.774  0.877
Er  0.424  0.424  0.728
Y  0.226  0.540  0.123
Y  0.460  0.890  0.877
Y  0.540  0.110  0.123
Er  0.110  0.744  0.426
Er  0.280  0.890  0.574
Er  0.720  0.110  0.426
Er  0.576  0.576  0.272
Y  0.774  0.460  0.877
Y  0.110  0.226  0.123
Dy  0.000  0.000  0.000
Er  0.890  0.256  0.574
Er  0.744  0.720  0.426
Er  0.256  0.280  0.574

Output
Magnetic moment   0.00 μB per atom


(x)
DyY6Er8 | PBE | relaxed

a b c (Å): 6.455 9.399 9.399
angles (deg): 120.00 90.00 90.00
Positions (direct):
Er  0.848  0.333  0.667
Er  0.905  0.980  0.313
Y  0.409  0.317  0.899
Er  0.095  0.313  0.333
Y  0.591  0.683  0.101
Er  0.152  0.667  0.333
Y  0.409  0.582  0.683
Dy  0.500  0.000  0.000
Y  0.591  0.418  0.317
Y  0.409  0.101  0.418
Er  0.905  0.333  0.020
Er  0.905  0.687  0.667
Er  0.095  0.020  0.687
Y  0.591  0.899  0.582
Er  0.095  0.667  0.980

Output
Magnetic moment   0.00 μB per atom


(w) (0.115 eV/atom below the next structure)


(w)
Dy3Y2Er5 | PBE | relaxed

a b c (Å): 6.214 11.042 11.042
angles (deg): 100.31 73.66 73.66
Positions (direct):
Er  0.900  0.444  0.755
Dy  0.659  0.589  0.092
Dy  0.841  0.908  0.411
Y  0.099  0.744  0.057
Er  0.999  0.251  0.251
Y  0.901  0.256  0.943
Er  0.600  0.245  0.556
Er  0.750  0.500  0.500
Dy  0.250  0.000  0.000
Dy  0.750  0.000  0.000
Dy  0.159  0.092  0.589
Dy  0.341  0.411  0.908
Er  0.001  0.749  0.749
Er  0.501  0.749  0.749
Er  0.499  0.251  0.251
Er  0.250  0.500  0.500
Y  0.599  0.057  0.744
Y  0.401  0.943  0.256
Er  0.400  0.755  0.444
Er  0.100  0.556  0.245

Output
Magnetic moment   0.00 μB per atom


(x)
Dy3Y2Er5 | PBE | relaxed

a b c (Å): 9.479 9.462 9.392
angles (deg): 108.42 108.49 111.85
Positions (direct):
Dy  0.520  0.471  0.249
Dy  0.729  0.979  0.957
Y  0.031  0.984  0.255
Er  0.478  0.228  0.456
Dy  0.480  0.529  0.751
Y  0.275  0.728  0.745
Er  0.118  0.388  0.255
Dy  0.771  0.222  0.751
Er  0.522  0.772  0.544
Er  0.773  0.523  0.046
Er  0.882  0.612  0.745
Er  0.026  0.276  0.553
Dy  0.229  0.778  0.249
Er  0.364  0.133  0.745
Y  0.725  0.272  0.255
Y  0.969  0.016  0.745
Er  0.227  0.477  0.954
Dy  0.271  0.021  0.043
Er  0.974  0.724  0.447
Er  0.636  0.867  0.255

Output
Magnetic moment   0.00 μB per atom


(x) (0.153 eV/atom below the next structure)


(w)
Dy12YEr6 | PBE | relaxed

a b c (Å): 8.486 8.486 8.486
angles (deg): 88.34 88.34 88.34
Positions (direct):
Dy  0.989  0.795  0.642
Dy  0.543  0.434  0.775
Dy  0.434  0.775  0.543
Er  0.906  0.308  0.742
Dy  0.566  0.225  0.457
Er  0.692  0.258  0.094
Er  0.742  0.906  0.308
Dy  0.358  0.011  0.205
Er  0.258  0.094  0.692
Dy  0.205  0.358  0.011
Y  0.000  0.000  0.000
Er  0.308  0.742  0.906
Dy  0.225  0.457  0.566
Dy  0.775  0.543  0.434
Dy  0.011  0.205  0.358
Dy  0.457  0.566  0.225
Dy  0.795  0.642  0.989
Er  0.094  0.692  0.258
Dy  0.642  0.989  0.795

Output
Magnetic moment   0.00 μB per atom


(x)
Dy12YEr6 | PBE | relaxed

a b c (Å): 9.280 9.280 9.280
angles (deg): 107.88 107.88 107.88
Positions (direct):
Dy  0.889  0.111  0.500
Dy  0.362  0.362  0.144
Dy  0.362  0.144  0.362
Y  0.000  0.000  0.000
Dy  0.144  0.362  0.362
Dy  0.111  0.889  0.500
Er  0.266  0.685  0.685
Er  0.685  0.685  0.266
Dy  0.500  0.111  0.889
Er  0.315  0.734  0.315
Dy  0.500  0.889  0.111
Dy  0.638  0.856  0.638
Dy  0.111  0.500  0.889
Dy  0.638  0.638  0.856
Er  0.315  0.315  0.734
Dy  0.889  0.500  0.111
Er  0.734  0.315  0.315
Dy  0.856  0.638  0.638
Er  0.685  0.266  0.685

Output
Magnetic moment   0.00 μB per atom


(w) (0.287 eV/atom below the next structure)


(w)
Dy5Y4Er | PBE | relaxed

a b c (Å): 3.558 6.791 14.355
angles (deg): 93.34 104.49 105.41
Positions (direct):
Dy  0.070  0.418  0.615
Y  0.643  0.171  0.789
Dy  0.775  0.875  0.584
Y  0.357  0.829  0.211
Dy  0.500  0.500  0.000
Y  0.113  0.298  0.193
Dy  0.225  0.125  0.416
Dy  0.930  0.582  0.385
Er  0.500  0.000  0.000
Y  0.887  0.702  0.807

Output
Magnetic moment   0.00 μB per atom


(x)
Dy5Y4Er | PBE | relaxed

a b c (Å): 5.890 8.035 8.035
angles (deg): 82.28 68.50 68.50
Positions (direct):
Y  0.450  0.322  0.679
Dy  0.140  0.624  0.000
Dy  0.763  0.000  0.376
Dy  0.763  0.376  0.000
Er  0.216  0.000  0.000
Y  0.450  0.678  0.321
Y  0.129  0.321  0.322
Dy  0.140  0.000  0.624
Y  0.772  0.679  0.678
Dy  0.687  0.000  0.000

Output
Magnetic moment   0.00 μB per atom


(w) (0.193 eV/atom below the next structure)


(w)
Dy12Y5Er2 | PBE | relaxed

a b c (Å): 9.126 9.122 8.528
angles (deg): 91.16 90.00 120.02
Positions (direct):
Dy  0.971  0.306  0.242
Y  0.300  0.601  0.988
Y  0.000  0.000  0.500
Dy  0.821  0.253  0.666
Er  0.323  0.000  0.000
Dy  0.665  0.694  0.758
Y  0.233  0.466  0.572
Dy  0.433  0.253  0.666
Dy  0.335  0.306  0.242
Er  0.677  0.000  0.000
Dy  0.443  0.886  0.663
Dy  0.567  0.747  0.334
Y  0.767  0.534  0.428
Dy  0.089  0.179  0.886
Dy  0.557  0.114  0.337
Y  0.700  0.399  0.012
Dy  0.911  0.821  0.114
Dy  0.029  0.694  0.758
Dy  0.179  0.747  0.334

Output
Magnetic moment   0.00 μB per atom


(x)
Dy12Y5Er2 | PBE | relaxed

a b c (Å): 6.012 9.702 12.061
angles (deg): 119.26 95.84 90.88
Positions (direct):
Dy  0.572  0.668  0.988
Dy  0.615  0.692  0.288
Er  0.717  0.987  0.920
Dy  0.427  0.076  0.394
Y  0.000  0.000  0.500
Y  0.502  0.622  0.669
Dy  0.923  0.359  0.544
Dy  0.162  0.954  0.773
Y  0.103  0.694  0.157
Dy  0.573  0.924  0.606
Dy  0.959  0.342  0.155
Dy  0.838  0.046  0.227
Dy  0.385  0.308  0.712
Dy  0.077  0.641  0.456
Dy  0.041  0.658  0.845
Er  0.283  0.013  0.080
Y  0.498  0.378  0.331
Y  0.897  0.306  0.843
Dy  0.428  0.332  0.012

Output
Magnetic moment   0.00 μB per atom


(x) (0.005 eV/atom below the next structure)


(w)
DyY2Er4 | PBE | relaxed

a b c (Å): 6.203 6.455 11.459
angles (deg): 90.00 106.29 90.00
Positions (direct):
Er  0.134  0.750  0.435
Er  0.647  0.002  0.288
Er  0.986  0.250  0.151
Er  0.014  0.750  0.849
Dy  0.173  0.750  0.151
Er  0.866  0.250  0.565
Y  0.614  0.750  0.002
Y  0.699  0.750  0.563
Dy  0.827  0.250  0.849
Er  0.353  0.502  0.712
Er  0.647  0.498  0.288
Y  0.386  0.250  0.998
Er  0.353  0.998  0.712
Y  0.301  0.250  0.437

Output
Magnetic moment   0.00 μB per atom


(x)
DyY2Er4 | PBE | relaxed

a b c (Å): 3.590 3.590 19.810
angles (deg): 95.18 90.00 120.01
Positions (direct):
Er  0.429  0.857  0.526
Er  0.523  0.046  0.810
Er  0.002  0.003  0.237
Y  0.620  0.239  0.094
Dy  0.809  0.618  0.668
Er  0.905  0.809  0.951
Y  0.715  0.431  0.382

Output
Magnetic moment   0.00 μB per atom


(x) (0.135 eV/atom below the next structure)